# Be2HWF (PBE with a Hubbard U, relaxed)
data_Be2HWF
_cell_length_a 3.2309
_cell_length_b 3.2309
_cell_length_c 5.2688
_cell_angle_alpha 90.00
_cell_angle_beta 90.00
_cell_angle_gamma 90.00
_space_group_name_H-M_alt 'P 4/m m m'
_space_group_IT_number 123
_space_group_name_Hall '-P 4 2'
loop_
_atom_site_label
_atom_site_type_symbol
_atom_site_fract_x
_atom_site_fract_y
_atom_site_fract_z
Be1 Be 0.0000 0.5000 0.0000
H1 H 0.0000 0.0000 0.5000
W1 W 0.5000 0.5000 0.5000
F1 F 0.5000 0.5000 0.0000
# Theoretical density ... 6.7 Mg/m³
# Spin magnetization ... 0.111 μB per atom
# Density of states at the Fermi level ... 0.437 states/eV/atom
# VASP energy ... -3.02 eV/atom